Entry 1:
Density functional theory data (PBE) for crystalline Y3Al7Zn4 at its relaxed geometry.

For the total energy, the calculation gives -112.77 eV/cell. The calculation puts the density at 4.5 g/cm3. The formation energy comes out at -0.41 eV per atom.

The structure belongs to space group C2/m (No. 12); the cell edges are 15.851, 4.216 and 9.878 Å and the angles 90.00°, 127.46° and 90.00°. The asymmetric unit holds Y at (0.000, 0.000, 0.000), Y at (0.184, 0.500, 0.688), Al at (0.000, 0.000, 0.500), Al at (0.006, 0.500, 0.292), Al at (0.156, 0.000, 0.423), Al at (0.170, 0.500, 0.028), Zn at (0.129, 0.000, 0.852) and Zn at (0.158, 0.500, 0.271).

***

Entry 2:
Density functional theory data (PBE) for crystalline GaHgPb at its relaxed geometry.

For the total energy, the calculation gives -13.72 eV/cell. The calculation puts the density at 10.4 g/cm3. The energy above the most stable polymorph in this dataset comes out at 0.0007 eV per atom. The formation energy comes out at 0.06 eV per atom.

The structure belongs to space group I4mm (No. 107); the cell edges are 3.576, 3.576 and 11.936 Å and the angles 90.00°, 90.00° and 90.00°. The asymmetric unit holds Ga at (0.000, 0.000, 0.000), Hg at (0.000, 0.000, 0.367) and Pb at (0.000, 0.000, 0.679).

***

Entry 3:
Density functional theory data (PBE) for crystalline MnNiS4 at its relaxed geometry.

For the total energy, the calculation gives -67.15 eV/cell. The calculation puts the density at 3.4 g/cm3. The energy above the most stable polymorph in this dataset comes out at 0.0000 eV per atom.

The structure belongs to space group C2/m (No. 12); the cell edges are 13.575, 3.336 and 5.756 Å and the angles 90.00°, 113.62° and 90.00°. The asymmetric unit holds Mn at (0.000, 0.000, 0.000), Ni at (0.000, 0.500, 0.500), S at (0.100, 0.000, 0.434) and S at (0.104, 0.500, 0.926).

***

Entry 4:
Density functional theory data (PBE) for crystalline Rb2NpHgSe4 at its relaxed geometry.

For the total energy, the calculation gives -284.80 eV/cell. The calculation puts the density at 4.9 g/cm3.

The structure belongs to space group Fddd (No. 70, origin choice 2); the cell edges are 6.611, 14.988 and 25.093 Å and the angles 90.00°, 90.00° and 90.00°. The asymmetric unit holds Rb at (0.125, 0.125, 0.307), Np at (0.125, 0.125, 0.125), Hg at (0.125, 0.125, 0.625) and Se at (0.118, 0.265, 0.430).

***

Entry 5:
Density functional theory data (PBE) for crystalline BaIn2Te at its relaxed geometry.

For the total energy, the calculation gives -36.63 eV/cell. The calculation puts the density at 5.3 g/cm3.

The structure belongs to space group R3m (No. 160, hexagonal axes); the cell edges are 4.5073, 4.5073 and 26.1946 Å and the angles 90.00°, 90.00° and 120.00°. The asymmetric unit holds Ba at (0.0000, 0.0000, 0.0000), In at (0.0000, 0.0000, 0.5080), In at (0.0000, 0.0000, 0.7730) and Te at (0.0000, 0.0000, 0.2504).

***

Entry 6:
Density functional theory data (PBE) for crystalline Li2NiMo at its relaxed geometry.

For the total energy, the calculation gives -39.12 eV/cell. The calculation puts the density at 5.1 g/cm3. The energy above the most stable polymorph in this dataset comes out at 0.0655 eV per atom. The formation energy comes out at 0.22 eV per atom.

The structure belongs to space group Immm (No. 71); the cell edges are 2.583, 4.444 and 9.493 Å and the angles 90.00°, 90.00° and 90.00°. The asymmetric unit holds Li at (0.000, 0.000, 0.228), Ni at (0.000, 0.500, 0.500) and Mo at (0.000, 0.500, 0.000).